Record 1
# YHfTiRu2

A crystal of YHfTiRu2 relaxed with PBEsol (SCAN, Alexandria).

Cell: 4.6763 4.6763 5.1257 Å, 90.00 90.00 90.00°
Last column: nearest neighbours and their distance in Å.
Space group P4/mmm (No. 123)
Symmetry-distinct sites (fractional):
Y: 0.0000 0.0000 0.0000 [1 per cell]  2 Hf 2.56
Hf: 0.0000 0.0000 0.5000 [1 per cell]  4 Ru 2.34, 2 Y 2.56
Ti: 0.5000 0.5000 0.0000 [1 per cell]  4 Y 3.31, 8 Ru 3.47
Ru: 0.0000 0.5000 0.5000 [2 per cell]  2 Hf 2.34

Calculated values
Formation energy: 1.11 eV/atom



Record 2
# Hf2TlRu

A crystal of Hf2TlRu relaxed with PBEsol (SCAN, Alexandria).

Cell: 6.7113 6.7113 6.7113 Å, 90.00 90.00 90.00°
Last column: nearest neighbours and their distance in Å.
Space group Fm-3m (No. 225)
Symmetry-distinct sites (fractional):
Hf: 0.2500 0.2500 0.2500 [8 per cell]  4 Tl 2.91, 4 Ru 2.91
Tl: 0.0000 0.0000 0.0000 [4 per cell]  8 Hf 2.91
Ru: 0.0000 0.0000 0.5000 [4 per cell]  8 Hf 2.91

Calculated values
Formation energy: -0.15 eV/atom



Record 3
# Hf2V3Ru

A crystal of Hf2V3Ru relaxed with PBEsol (SCAN, Alexandria).

Cell: 5.1698 5.1698 8.1363 Å, 90.00 90.00 120.00°
Last column: nearest neighbours and their distance in Å.
Space group P6_3/mmc (No. 194)
Symmetry-distinct sites (fractional):
Hf: 0.3333 0.6667 0.0604 [4 per cell]  9 V 2.92-3.01, 3 Ru 3.02, 4 Hf 3.09-3.14
V: 0.1700 0.3400 0.7500 [6 per cell]  4 V 2.53-2.64, 2 Ru 2.54
Ru: 0.0000 0.0000 0.0000 [2 per cell]  6 V 2.54

Calculated values
Formation energy: -0.35 eV/atom



Record 4
# YHf3Ru

A crystal of YHf3Ru relaxed with PBEsol (SCAN, Alexandria).

Cell: 4.9579 4.9579 4.9579 Å, 90.00 90.00 90.00°
Last column: nearest neighbours and their distance in Å.
Space group Pm-3m (No. 221)
Symmetry-distinct sites (fractional):
Y: 0.0000 0.0000 0.0000 [1 per cell]  12 Hf 3.51
Hf: 0.0000 0.5000 0.5000 [3 per cell]  2 Ru 2.48
Ru: 0.5000 0.5000 0.5000 [1 per cell]  6 Hf 2.48

Calculated values
Formation energy: 0.08 eV/atom



Record 5
# HfSbS3

A crystal of HfSbS3 relaxed with PBEsol (SCAN, Alexandria).

Cell: 4.8621 4.8621 4.8621 Å, 90.00 90.00 90.00°
Last column: nearest neighbours and their distance in Å.
Space group Pm-3m (No. 221)
Symmetry-distinct sites (fractional):
Hf: 0.0000 0.0000 0.0000 [1 per cell]  12 S 3.44
Sb: 0.5000 0.5000 0.5000 [1 per cell]  6 S 2.43
S: 0.0000 0.5000 0.5000 [3 per cell]  2 Sb 2.43

Calculated values
Formation energy without anion corrections: 0.52 eV per atom



Record 6
# Hf2Si2S

A crystal of Hf2Si2S relaxed with PBEsol (SCAN, Alexandria).

Cell: 6.8560 6.8560 3.7269 Å, 90.00 90.00 90.00°
Last column: nearest neighbours and their distance in Å.
Space group P4/mbm (No. 127)
Symmetry-distinct sites (fractional):
Hf: 0.1780 0.3220 0.0000 [4 per cell]  2 S 2.52, 6 Si 2.71-2.79
Si: 0.1194 0.6194 0.5000 [4 per cell]  1 Si 2.32
S: 0.0000 0.0000 0.0000 [2 per cell]  4 Hf 2.52

Calculated values
Formation energy without anion corrections: -0.72 eV per atom



Record 7
# HfSiS

A crystal of HfSiS relaxed with PBEsol (SCAN, Alexandria).

Cell: 3.4980 3.4980 7.9133 Å, 90.00 90.00 90.00°
Last column: nearest neighbours and their distance in Å.
Space group P4/nmm (No. 129, origin choice 2)
Symmetry-distinct sites (fractional):
Hf: 0.2500 0.2500 0.2294 [2 per cell]  5 S 2.62-2.76, 4 Si 2.76
Si: 0.2500 0.7500 0.5000 [2 per cell]  4 Si 2.47, 4 Hf 2.76
S: 0.2500 0.2500 0.8810 [2 per cell]  5 Hf 2.62-2.76

Calculated values
Formation energy without anion corrections: -1.23 eV per atom



Record 8
# Sm2HfS5

A crystal of Sm2HfS5 relaxed with PBEsol (SCAN, Alexandria).

Cell: 11.3504 7.8219 7.2149 Å, 90.00 90.00 90.00°
Last column: nearest neighbours and their distance in Å.
Space group Pnma (No. 62)
Symmetry-distinct sites (fractional):
Sm: 0.1761 0.0015 0.0366 [8 per cell]  8 S 2.83-2.96
Hf: 0.0081 0.7500 0.5753 [4 per cell]  7 S 2.50-2.67
S: 0.0043 0.7500 0.9453 [4 per cell]  1 Hf 2.67, 4 Sm 2.83-2.85
S: 0.0853 0.0377 0.6677 [8 per cell]  2 Hf 2.50-2.64
S: 0.1847 0.7500 0.3422 [4 per cell]  1 Hf 2.62, 2 Sm 2.87
S: 0.2080 0.2500 0.3216 [4 per cell]  1 Hf 2.56, 4 Sm 2.83-2.85

Calculated values
Formation energy without anion corrections: -2.16 eV per atom



Record 9
# SrHfS3

A crystal of SrHfS3 relaxed with PBEsol (SCAN, Alexandria).

Cell: 7.0274 9.6506 6.6433 Å, 90.00 90.00 90.00°
Last column: nearest neighbours and their distance in Å.
Space group Pnma (No. 62)
Symmetry-distinct sites (fractional):
Sr: 0.0807 0.2500 0.0252 [4 per cell]  6 S 2.94-3.13
Hf: 0.0000 0.0000 0.5000 [4 per cell]  6 S 2.49-2.53
S: 0.0157 0.7500 0.4058 [4 per cell]  2 Hf 2.49
S: 0.1962 0.5480 0.8087 [8 per cell]  2 Hf 2.51-2.53

Calculated values
Formation energy without anion corrections: -2.06 eV per atom



Record 10
# SrHf3S

A crystal of SrHf3S relaxed with PBEsol (SCAN, Alexandria).

Cell: 5.0432 5.0432 5.0432 Å, 90.00 90.00 90.00°
Last column: nearest neighbours and their distance in Å.
Space group Pm-3m (No. 221)
Symmetry-distinct sites (fractional):
Sr: 0.0000 0.0000 0.0000 [1 per cell]  6 Hf 2.52
Hf: 0.0000 0.0000 0.5000 [3 per cell]  2 Sr 2.52
S: 0.5000 0.5000 0.5000 [1 per cell]  12 Hf 3.57

Calculated values
Formation energy without anion corrections: 2.34 eV per atom



Record 11
# Sr2HfS

A crystal of Sr2HfS relaxed with PBEsol (SCAN, Alexandria).

Cell: 7.7517 7.7517 7.7517 Å, 90.00 90.00 90.00°
Last column: nearest neighbours and their distance in Å.
Space group Fm-3m (No. 225)
Symmetry-distinct sites (fractional):
Sr: 0.2500 0.2500 0.2500 [8 per cell]  4 S 3.36, 4 Hf 3.36
Hf: 0.0000 0.0000 0.0000 [4 per cell]  8 Sr 3.36
S: 0.0000 0.0000 0.5000 [4 per cell]  8 Sr 3.36

Calculated values
Formation energy without anion corrections: 0.26 eV per atom



Record 12
# Tb2HfS5

A crystal of Tb2HfS5 relaxed with PBEsol (SCAN, Alexandria).

Cell: 11.3361 7.6792 7.1554 Å, 90.00 90.00 90.00°
Last column: nearest neighbours and their distance in Å.
Space group Pnma (No. 62)
Symmetry-distinct sites (fractional):
Tb: 0.1778 0.0023 0.0279 [8 per cell]  8 S 2.79-2.93
Hf: 0.0070 0.7500 0.5766 [4 per cell]  7 S 2.49-2.66
S: 0.0035 0.7500 0.9481 [4 per cell]  1 Hf 2.66, 4 Tb 2.81-2.83
S: 0.0909 0.0384 0.6642 [8 per cell]  2 Hf 2.49-2.62
S: 0.1825 0.7500 0.3350 [4 per cell]  1 Hf 2.64, 4 Tb 2.83-2.93
S: 0.2085 0.2500 0.3136 [4 per cell]  1 Hf 2.57, 4 Tb 2.79-2.81

Calculated values
Formation energy without anion corrections: -2.14 eV per atom



We obtain total moment values of 0.219 0.000 0.000 0.006 0.239 0.000 0.000 0.000 0.000 0.000 0.976 0.000 μB/atom for the records listed above, in that order.